No. 1
VASP calculation (GGA-PBE) on crystalline MgRuRh2 at its relaxed geometry.

Results
symmetry = Cmmm (65)
E_tot = -6.5329 eV per atom
DFT formation energy = -0.140 eV per atom

Cell lengths 4.7053, 4.7053, 2.7577 Å; angles 90.00, 90.00, 108.03 degrees
Last column: nearest neighbours and their distance in Å.
Atoms (fractional coordinates):
Mg (0.0000, 0.0000, 0.0000)  8 Rh 2.73, 2 Mg 2.76, 2 Ru 2.76
Ru (0.5000, 0.5000, 0.0000)  8 Rh 2.73, 2 Ru 2.76, 2 Mg 2.76
Rh (0.0000, 0.5000, 0.5000)  4 Ru 2.73, 4 Mg 2.73, 4 Rh 2.76
Rh (0.5000, 0.0000, 0.5000)  4 Ru 2.73, 4 Mg 2.73, 4 Rh 2.76

***

No. 2
VASP calculation (GGA-PBE) on crystalline Zr2ScNbH at its relaxed geometry.

Results
symmetry = P4/mmm (123)
polymorph energy (0 for the lowest one) = 0.015 eV/atom
E_tot = -7.4069 eV per atom

Cell lengths 4.4799, 4.4799, 4.4110 Å; angles 90.00, 90.00, 90.00 degrees
Last column: nearest neighbours and their distance in Å.
Atoms (fractional coordinates):
Zr (0.0000, 0.5000, 0.0000)  2 H 2.24
Zr (0.5000, 0.0000, 0.0000)  2 H 2.24
Sc (0.0000, 0.0000, 0.5000)  2 H 2.21
Nb (0.5000, 0.5000, 0.5000)  8 Zr 3.14, 4 Sc 3.17
H (0.0000, 0.0000, 0.0000)  2 Sc 2.21, 4 Zr 2.24

***

No. 3
VASP calculation (GGA-PBE) on crystalline Ac2MgAlGa6 at its relaxed geometry.

Results
symmetry = R-3m (166)
E_tot = -3.4696 eV per atom
DFT formation energy = -0.298 eV per atom

Cell lengths 13.1125, 13.1125, 13.1125 Å; angles 29.44, 29.44, 29.44 degrees
Last column: nearest neighbours and their distance in Å.
Atoms (fractional coordinates):
Ac (0.1154, 0.1154, 0.1154)  9 Ga 3.38-3.58
Ac (0.2945, 0.2945, 0.2945)  12 Ga 3.35-3.56
Ac (0.7055, 0.7055, 0.7055)  12 Ga 3.35-3.56
Ac (0.8846, 0.8846, 0.8846)  9 Ga 3.38-3.58
Mg (0.0000, 0.0000, 0.0000)  6 Ga 2.73
Mg (0.5000, 0.5000, 0.5000)  2 Al 2.66, 6 Ga 2.84
Al (0.4292, 0.4292, 0.4292)  6 Ga 2.60-2.61, 1 Mg 2.66
Al (0.5708, 0.5708, 0.5708)  6 Ga 2.60-2.61, 1 Mg 2.66
Ga (0.0474, 0.6640, 0.6640)  2 Ga 2.55, 1 Al 2.61, 1 Mg 2.84
Ga (0.2360, 0.2360, 0.6522)  1 Al 2.60, 1 Mg 2.73, 2 Ga 2.77
Ga (0.2360, 0.6522, 0.2360)  1 Al 2.60, 1 Mg 2.73, 2 Ga 2.77
Ga (0.3360, 0.3360, 0.9526)  2 Ga 2.55, 1 Al 2.61, 1 Mg 2.84
Ga (0.3360, 0.9526, 0.3360)  2 Ga 2.55, 1 Al 2.61, 1 Mg 2.84
Ga (0.3478, 0.7640, 0.7640)  1 Al 2.60, 1 Mg 2.73, 2 Ga 2.77
Ga (0.6522, 0.2360, 0.2360)  1 Al 2.60, 1 Mg 2.73, 2 Ga 2.77
Ga (0.6640, 0.0474, 0.6640)  2 Ga 2.55, 1 Al 2.61, 1 Mg 2.84
Ga (0.6640, 0.6640, 0.0474)  2 Ga 2.55, 1 Al 2.61, 1 Mg 2.84
Ga (0.7640, 0.3478, 0.7640)  1 Al 2.60, 1 Mg 2.73, 2 Ga 2.77
Ga (0.7640, 0.7640, 0.3478)  1 Al 2.60, 1 Mg 2.73, 2 Ga 2.77
Ga (0.9526, 0.3360, 0.3360)  2 Ga 2.55, 1 Al 2.61, 1 Mg 2.84

***

No. 4
VASP calculation (GGA-PBE) on crystalline SrScRe4 at its relaxed geometry.

Results
symmetry = F-43m (216)
E_tot = -9.4407 eV per atom
DFT formation energy = 0.194 eV per atom

Cell lengths 5.4105, 5.4105, 5.4105 Å; angles 60.00, 60.00, 60.00 degrees
Last column: nearest neighbours and their distance in Å.
Atoms (fractional coordinates):
Sr (0.0000, 0.0000, 0.0000)  12 Re 3.17, 4 Sc 3.31
Sc (0.2500, 0.2500, 0.2500)  12 Re 3.17, 4 Sr 3.31
Re (0.1263, 0.6246, 0.6246)  6 Re 2.70-2.71
Re (0.6246, 0.1263, 0.6246)  6 Re 2.70-2.71
Re (0.6246, 0.6246, 0.1263)  6 Re 2.70-2.71
Re (0.6246, 0.6246, 0.6246)  6 Re 2.70-2.71

***

DOS at the Fermi energy / states/eV/atom: 0.94, 1.37, 0.51, 0.55